Entry 1:
Material: Mn2MoCl
Method: DFT, PBE-GGA
State: optimized geometry

Its formation energy from raw total energies is 205 meV per atom. The volume is 127 Å³/cell. The energy is -0.27744 hartree per atom. The value obtained for the total magnetization is 6.6 μB/f.u. As for the energy above the most stable polymorph in this dataset: 0.249 eV/f.u.

It has space group Cmmm (No. 65), with a = 3.2325 Å, b = 4.8697 Å, c = 8.0410 Å, α = 90.00°, β = 90.00° and γ = 90.00°. Symmetry generates all atoms from Mn at (0.0000, 0.0000, 0.2471), Mo at (0.0000, 0.5000, 0.0000) and Cl at (0.0000, 0.5000, 0.5000).

***

Entry 2:
Material: Th3CdO
Method: DFT, PBE-GGA
State: optimized geometry

Its formation energy from raw total energies is -1043 meV per atom. The volume is 125 Å³/cell. The energy is -0.24512 hartree per atom. The value obtained for the total magnetization is 0.0 μB/f.u.

It has space group Pm-3m (No. 221), with a = 4.9974 Å, b = 4.9974 Å, c = 4.9974 Å, α = 90.00°, β = 90.00° and γ = 90.00°. Symmetry generates all atoms from Th at (0.0000, 0.0000, 0.5000), Cd at (0.5000, 0.5000, 0.5000) and O at (0.0000, 0.0000, 0.0000).

***

Entry 3:
Material: PmY2ScP4
Method: DFT, PBE-GGA
State: optimized geometry

As for the energy of formation from the pure elements: -1541 meV per atom. The volume is 179 Å³/cell. The energy is -0.26633 hartree per atom. The value obtained for the total magnetization is 0.0 μB/f.u.

It has space group P2/m (No. 10), with a = 6.8968 Å, b = 3.9910 Å, c = 6.9050 Å, α = 90.00°, β = 109.46° and γ = 90.00°. Symmetry generates all atoms from Pm at (0.0000, 0.0000, 0.0000), Y at (0.0000, 0.5000, 0.5000), Y at (0.5000, 0.0000, 0.5000), Sc at (0.5000, 0.5000, 0.0000), P at (0.2598, 0.5000, 0.2497) and P at (0.2624, 0.0000, 0.7577).

***

Entry 4:
Material: Tb4Ce2N
Method: DFT, PBE-GGA
State: optimized geometry

Its formation energy from raw total energies is -155 meV per atom. The volume is 404 Å³/cell. The energy is -0.20893 hartree per atom. The value obtained for the total magnetization is 2.7 μB/f.u.

It has space group I4/mmm (No. 139), with a = 4.7855 Å, b = 4.7855 Å, c = 17.6593 Å, α = 90.00°, β = 90.00° and γ = 90.00°. Symmetry generates all atoms from Tb at (0.0000, 0.0000, 0.1340), Tb at (0.0000, 0.5000, 0.0000), Ce at (0.0000, 0.0000, 0.3215) and N at (0.0000, 0.0000, 0.0000).

***

- Which formula does entry 1 have?
  Mn2MoCl